No. 1
9
Lattice="-2.4937 3.5632 7.5107 2.4937 -3.5632 7.5107 2.4937 3.5632 -7.5107" Properties=species:S:1:pos:R:3 comment="Dy6Al2Au (GGA-PBE, relaxed)" e_form_mev_per_atom=-173 dft_energy_ev_per_atom=-4.44 crystal_system=orthorhombic volume_a3_per_atom=29.7 spacegroup="Immm (71)" pbc="T T T"
Dy 2.4937 1.7522 -2.4716
Dy 0.0000 1.7408 0.0000
Dy 2.4937 1.7522 2.4716
Dy 0.0000 1.8110 5.0391
Dy 0.0000 5.3856 0.0000
Dy 0.0000 1.8110 9.9822
Al 2.4937 0.0000 5.0074
Al 0.0000 3.5632 2.5033
Au 2.4937 0.0000 0.0000

No. 2
6
Lattice="1.8981 -9.7139 0.0000 1.8981 9.7139 0.0000 0.0000 0.0000 6.0140" Properties=species:S:1:pos:R:3 comment="AcPmDy (GGA-PBE, relaxed)" e_form_mev_per_atom=58 dft_energy_ev_per_atom=-4.43 e_above_lowest_polymorph_kcal_per_mol_atoms=0.19 crystal_system=orthorhombic volume_a3_per_atom=37.0 spacegroup="Cmcm (63)" pbc="T T T"
Ac 1.8981 5.4617 4.5105
Ac 1.8981 -5.4617 1.5035
Pm 1.8981 1.0081 1.5035
Pm 1.8981 -1.0081 4.5105
Dy 1.8981 7.6640 1.5035
Dy 1.8981 -7.6640 4.5105

No. 3
16
Lattice="4.0653 0.0000 0.0000 0.0000 4.0653 0.0000 0.0000 0.0000 15.7024" Properties=species:S:1:pos:R:3 comment="Mg3PaPd12 (GGA-PBE, relaxed)" e_form_mev_per_atom=-593 dft_energy_ev_per_atom=-5.38 crystal_system=tetragonal volume_a3_per_atom=16.2 spacegroup="P4/mmm (123)" pbc="T T T"
Mg 0.0000 0.0000 0.0000
Mg 0.0000 0.0000 3.8021
Mg 0.0000 0.0000 11.9002
Pa 0.0000 0.0000 7.8512
Pd 0.0000 2.0326 1.9068
Pd 0.0000 2.0326 5.8296
Pd 0.0000 2.0326 9.8728
Pd 0.0000 2.0326 13.7956
Pd 2.0326 0.0000 1.9068
Pd 2.0326 0.0000 5.8296
Pd 2.0326 0.0000 9.8728
Pd 2.0326 0.0000 13.7956
Pd 2.0326 2.0326 0.0000
Pd 2.0326 2.0326 3.8426
Pd 2.0326 2.0326 7.8512
Pd 2.0326 2.0326 11.8598

No. 4
4
Lattice="5.2359 -1.7279 0.0000 5.2359 1.7279 0.0000 -1.4732 0.0000 6.4129" Properties=species:S:1:pos:R:3 comment="PPbCl2 (GGA-PBE, relaxed)" dft_energy_ev_per_atom=-3.53 e_above_lowest_polymorph_kcal_per_mol_atoms=1.21 e_form_raw_mev_per_atom=-327 crystal_system=monoclinic volume_a3_per_atom=29.0 spacegroup="Cm (8)" pbc="T T T"
P 0.0000 0.0000 0.0000
Pb 3.1478 0.0000 4.1182
Cl 5.8961 0.0000 3.7426
Cl 8.6207 0.0000 0.9117